(1)
Material: KCo2Cu
Method: DFT, GGA-PBEsol
State: relaxed

Lattice parameters (Å, degrees): 3.029 3.029 7.379 90.00 90.00 90.00
Site moments in Bohr magnetons follow the coordinates.
Positions (direct):
Cu  0.500  0.500  0.000  0.09
K  0.500  0.500  0.500  -0.02
Co  0.000  0.000  0.150  1.65
Co  0.000  0.000  0.850  1.65

Values from the calculation:
Volume: 67.70 Å³/f.u.
Total DFT energy (no corrections): -4.40 eV/atom
Magnetic moment: 3.21 Bohr magnetons per cell
Polymorph energy (0 for the lowest one): 231 meV/atom
ΔH_f (0 K): 0.840 eV/atom

---

(2)
Material: CrP
Method: DFT, GGA-PBEsol
State: relaxed

Lattice parameters (Å, degrees): 2.975 3.033 3.033 120.00 90.00 90.00
Positions (direct):
P  0.500  0.333  0.667
Cr  0.000  0.000  0.000

Values from the calculation:
Volume: 23.70 Å³/f.u.
Total DFT energy (no corrections): -8.61 eV/atom
Magnetic moment: 0.00 Bohr magnetons per cell
ΔH_f (0 K): -0.592 eV/atom

---

(3)
Material: RbYIn2P
Method: DFT, GGA-PBEsol
State: relaxed

Lattice parameters (Å, degrees): 5.624 5.624 5.769 90.00 90.00 90.00
Positions (direct):
In  0.500  0.000  0.000
Rb  0.000  0.000  0.000
P  0.500  0.500  0.500
Y  0.000  0.000  0.500
In  0.000  0.500  0.000

Values from the calculation:
Volume: 182.44 Å³/f.u.
Total DFT energy (no corrections): -2.31 eV/atom
Magnetic moment: 0.01 Bohr magnetons per cell
ΔH_f (0 K): 1.606 eV/atom